Entry from Alexandria via LeMat-Bulk: a geometry-optimized SnINO2 structure (PBE).

Symmetry: No. 123
Calculated volume, A^3/atom: 14.41

a = 4.0443 Å, b = 4.0443 Å, c = 4.4047 Å
α = 90.00°, β = 90.00°, γ = 90.00°
Atoms (fractional coordinates):
O  0.5000  0.0000  0.0000
O  0.0000  0.5000  0.0000
N  0.0000  0.0000  0.5000
Sn  0.0000  0.0000  0.0000
I  0.5000  0.5000  0.5000

***

Entry from Alexandria via LeMat-Bulk: a geometry-optimized SnIN2O structure (PBE).

Symmetry: No. 123
Calculated volume, A^3/atom: 14.61

a = 4.2825 Å, b = 4.2825 Å, c = 3.9818 Å
α = 90.00°, β = 90.00°, γ = 90.00°
Atoms (fractional coordinates):
O  0.0000  0.0000  0.5000
I  0.5000  0.5000  0.5000
Sn  0.0000  0.0000  0.0000
N  0.0000  0.5000  0.0000
N  0.5000  0.0000  0.0000

***

Entry from Alexandria via LeMat-Bulk: a geometry-optimized SnIN2O structure (PBE).

Symmetry: No. 123
Calculated volume, A^3/atom: 22.47

a = 3.9072 Å, b = 3.9072 Å, c = 7.3593 Å
α = 90.00°, β = 90.00°, γ = 90.00°
Atoms (fractional coordinates):
N  0.0000  0.5000  0.0000
N  0.5000  0.0000  0.0000
I  0.0000  0.0000  0.5000
O  0.5000  0.5000  0.5000
Sn  0.0000  0.0000  0.0000

***

Entry from Alexandria via LeMat-Bulk: a geometry-optimized SnIN2O structure (PBE).

Symmetry: No. 123
Calculated volume, A^3/atom: 14.43

a = 4.1594 Å, b = 4.1594 Å, c = 4.1714 Å
α = 90.00°, β = 90.00°, γ = 90.00°
Each line ends with the local moment (μB).
Atoms (fractional coordinates):
I  0.0000  0.0000  0.0000  0.01
N  0.5000  0.0000  0.0000  0.09
N  0.0000  0.5000  0.0000  0.09
Sn  0.5000  0.5000  0.5000  0.01
O  0.0000  0.0000  0.5000  0.01

***

no.,DFT total energy (Ry/atom),formation energy without anion corrections (eV per formula unit),spin magnetization (μB/cell)
1,-0.33061,1.304,0.00
2,-0.32162,5.282,0.00
3,-0.27877,8.197,0.00
4,-0.31422,5.786,0.27